Zr2InP | PBE | optimized geometry

```
Zr2InP
1.0
3.5981 0.0000 0.0000
1.7991 3.1161 0.0000
1.7991 1.0387 7.7224
Zr In P
2 1 1
direct
0.0641 0.0641 0.8078
0.2694 0.2694 0.1917
0.4995 0.4995 0.5015
0.6670 0.6670 0.9990
```

Summary:
SG: R3m, No. 160
distance to the lowest polymorph of the same formula: 0.000 eV per atom
total moment: 0.00 Bohr magnetons per cell
formation energy: -0.85 eV per atom